A plane-wave DFT calculation with GGA-PBE was carried out for Sc7ZnS5 after structural relaxation.

The value obtained for the formation energy (no corrections) is -1.5193 eV per atom. The total moment comes out at 0.00 μB per atom. For the density, the calculation gives 3.68 g/cm3.

It has space group Cmcm (No. 63), with a = 3.669 Å, b = 12.141 Å, c = 21.917 Å, α = 90.00°, β = 90.00° and γ = 90.00°. The distinct sites, in fractional coordinates, are Sc at (0.000, 0.024, 0.250), Sc at (0.000, 0.138, 0.536), Sc at (0.000, 0.319, 0.176), Sc at (0.000, 0.410, 0.610), Zn at (0.000, 0.302, 0.750), S at (0.000, 0.048, 0.642), S at (0.000, 0.225, 0.072) and S at (0.000, 0.500, 0.000).